# Na2YCo

A relaxed structure of Na2YCo (GGA-PBE, Alexandria via LeMat-Bulk).

## Properties
excess energy over the best structure of this formula in the dataset = 0.00 eV/f.u.
calculated volume = 23.499 Å³/atom
space-group type = I-42d (122)
E = -14.4 eV/f.u.
calculated formation energy = 0.45 eV/atom

Cell: 12.388 12.388 12.388 Å, 161.67 161.67 26.04°
Element x y z (fractional)
1 Na 0.101 0.625 0.976
2 Na 0.375 0.351 0.476
3 Na 0.649 0.125 0.024
4 Na 0.875 0.899 0.524
5 Y 0.250 0.750 0.500
6 Y 0.500 0.500 0.000
7 Co 0.000 0.000 0.000
8 Co 0.750 0.250 0.500

---

# Na3YCo

A relaxed structure of Na3YCo (GGA-PBE, Alexandria via LeMat-Bulk).

## Properties
excess energy over the best structure of this formula in the dataset = 0.00 eV/f.u.
calculated volume = 28.510 Å³/atom
space-group type = Pm-3m (221)
E = -12.8 eV/f.u.
calculated formation energy = 0.95 eV/atom

Cell: 5.224 5.224 5.224 Å, 90.00 90.00 90.00°
Element x y z (fractional)
1 Na 0.000 0.000 0.500
2 Na 0.000 0.500 0.000
3 Na 0.500 0.000 0.000
4 Y 0.500 0.500 0.500
5 Co 0.000 0.000 0.000

---

# NaYCo

A relaxed structure of NaYCo (GGA-PBE, Alexandria via LeMat-Bulk).

## Properties
calculated volume = 28.002 Å³/atom
space-group type = C2 (5)
E = -15.2 eV/f.u.
calculated formation energy = -0.12 eV/atom

Cell: 3.911 3.911 12.683 Å, 90.01 90.01 60.00°
Element x y z (fractional)
1 Na 0.166 0.166 0.380
2 Na 0.834 0.834 0.620
3 Y 0.503 0.497 0.140
4 Y 0.503 0.497 0.860
5 Co 0.170 0.163 0.000
6 Co 0.837 0.830 0.000

---

# Na2YCo

A relaxed structure of Na2YCo (GGA-PBE, Alexandria via LeMat-Bulk).

## Properties
excess energy over the best structure of this formula in the dataset = 1.43 eV/f.u.
calculated volume = 22.398 Å³/atom
space-group type = Fm-3m (225)
E = -13.0 eV/f.u.
calculated formation energy = 0.81 eV/atom

Cell: 5.023 5.023 5.023 Å, 60.00 60.00 60.00°
Element x y z (fractional)
1 Na 0.250 0.250 0.250
2 Na 0.750 0.750 0.750
3 Y 0.000 0.000 0.000
4 Co 0.500 0.500 0.500

---

# NaYCo3

A relaxed structure of NaYCo3 (GGA-PBE, Alexandria via LeMat-Bulk).

## Properties
excess energy over the best structure of this formula in the dataset = 0.00 eV/f.u.
calculated volume = 17.816 Å³/atom
space-group type = Pm-3m (221)
E = -22.7 eV/f.u.
calculated formation energy = 1.29 eV/atom

Cell: 4.466 4.466 4.466 Å, 90.00 90.00 90.00°
Element x y z (fractional)
1 Na 0.000 0.000 0.000
2 Y 0.500 0.500 0.500
3 Co 0.000 0.000 0.500
4 Co 0.000 0.500 0.000
5 Co 0.500 0.000 0.000

---

# NaZnCo3

A relaxed structure of NaZnCo3 (GGA-PBE, Alexandria via LeMat-Bulk).

## Properties
excess energy over the best structure of this formula in the dataset = 0.00 eV/f.u.
calculated volume = 18.164 Å³/atom
space-group type = Pm-3m (221)
E = -18.3 eV/f.u.
calculated formation energy = 1.13 eV/atom

Cell: 4.495 4.495 4.495 Å, 90.00 90.00 90.00°
Element x y z (fractional)
1 Na 0.000 0.000 0.000
2 Zn 0.500 0.500 0.500
3 Co 0.000 0.500 0.500
4 Co 0.500 0.000 0.500
5 Co 0.500 0.500 0.000

---

The lowest calculated volume belongs to which entry? NaYCo3

---

What is the calculated formation energy in the second record? 0.95 eV/atom

---

The lowest calculated formation energy belongs to which entry? NaYCo

---

What is the calculated volume in the second record? 28.510 Å³/atom